Record 1
# LaNdCuAg

A geometry-optimized LaNdCuAg structure (PBE, the Alexandria database).

```
LaNdCuAg
1.0
3.7024 0.0000 0.0000
0.0000 3.7024 0.0000
0.0000 0.0000 7.4339
La Nd Cu Ag
1 1 1 1
direct
0.0000 0.0000 0.0000
0.0000 0.0000 0.4698
0.5000 0.5000 0.2451
0.5000 0.5000 0.7253
```

Computed properties:
Formation energy from the elements ... -198 meV per atom
Symmetry ... P4mm
Excess energy over the best structure of this formula in the dataset ... 0.000 eV/atom


Record 2
# La2Cu12Ni3Ag

A geometry-optimized La2Cu12Ni3Ag structure (PBE, the Alexandria database).

```
La2Cu12Ni3Ag
1.0
3.9125 2.2589 6.1582
-3.9125 2.2589 6.1582
0.0000 -4.5178 6.1582
La Cu Ni Ag
2 12 3 1
direct
0.1120 0.1120 0.1120
0.8880 0.8880 0.8880
0.1079 0.6319 0.6319
0.1418 0.1418 0.6149
0.1418 0.6149 0.1418
0.3681 0.3681 0.8921
0.3681 0.8921 0.3681
0.3851 0.8582 0.8582
0.6149 0.1418 0.1418
0.6319 0.1079 0.6319
0.6319 0.6319 0.1079
0.8582 0.3851 0.8582
0.8582 0.8582 0.3851
0.8921 0.3681 0.3681
0.0000 0.5000 0.5000
0.5000 0.0000 0.5000
0.5000 0.5000 0.0000
0.5000 0.5000 0.5000
```

Computed properties:
Formation energy from the elements ... 462 meV per atom
Symmetry ... R-3m


Record 3
# LaCu2AgO

A geometry-optimized LaCu2AgO structure (PBE, the Alexandria database).

```
LaCu2AgO
1.0
5.5789 0.0000 0.0000
0.0000 5.5789 0.0000
0.0000 0.0000 4.2089
La Cu Ag O
1 2 1 1
direct
0.0000 0.0000 0.0000
0.0000 0.5000 0.0000
0.5000 0.0000 0.0000
0.5000 0.5000 0.5000
0.0000 0.0000 0.5000
```

Computed properties:
Uncorrected energy ... -4.107 eV per atom
Symmetry ... P4/mmm


Record 4
# LaCuAgPd3

A geometry-optimized LaCuAgPd3 structure (PBE, the Alexandria database).

```
LaCuAgPd3
1.0
2.8233 -7.0329 0.0000
2.8233 7.0329 0.0000
0.0000 0.0000 5.7508
La Cu Ag Pd
2 2 2 6
direct
0.1572 0.8428 0.7500
0.8428 0.1572 0.2500
0.1254 0.8746 0.2500
0.8746 0.1254 0.7500
0.3648 0.6352 0.7500
0.6352 0.3648 0.2500
0.2520 0.2520 0.0000
0.2520 0.2520 0.5000
0.3163 0.6837 0.2500
0.6837 0.3163 0.7500
0.7480 0.7480 0.0000
0.7480 0.7480 0.5000
```

Computed properties:
Formation energy from the elements ... -295 meV per atom
Symmetry ... Cmcm


Record 5
# LaPmCuAg

A geometry-optimized LaPmCuAg structure (PBE, the Alexandria database).

```
LaPmCuAg
1.0
0.0000 3.7088 3.7088
3.7088 0.0000 3.7088
3.7088 3.7088 0.0000
La Pm Cu Ag
1 1 1 1
direct
0.0000 0.0000 0.0000
0.5000 0.5000 0.5000
0.2500 0.2500 0.2500
0.7500 0.7500 0.7500
```

Computed properties:
Formation energy from the elements ... -179 meV per atom
Symmetry ... F-43m
Excess energy over the best structure of this formula in the dataset ... 0.027 eV/atom


Record 6
# LaPmCuAg

A geometry-optimized LaPmCuAg structure (PBE, the Alexandria database).

```
LaPmCuAg
1.0
3.6850 0.0000 0.0000
0.0000 3.6850 0.0000
0.0000 0.0000 7.4288
La Pm Cu Ag
1 1 1 1
direct
0.0000 0.0000 0.0000
0.0000 0.0000 0.4704
0.5000 0.5000 0.2496
0.5000 0.5000 0.7217
```

Computed properties:
Formation energy from the elements ... -207 meV per atom
Symmetry ... P4mm
Excess energy over the best structure of this formula in the dataset ... 0.000 eV/atom


Record 7
# LaCu2AgPt

A geometry-optimized LaCu2AgPt structure (PBE, the Alexandria database).

```
LaCu2AgPt
1.0
4.6382 0.0000 0.0000
0.0000 4.6382 0.0000
0.0000 0.0000 5.7354
La Cu Ag Pt
1 2 1 1
direct
0.0000 0.0000 0.0000
0.0000 0.5000 0.5000
0.5000 0.0000 0.5000
0.0000 0.0000 0.5000
0.5000 0.5000 0.0000
```

Computed properties:
Formation energy from the elements ... 519 meV per atom
Symmetry ... P4/mmm


Record 8
# LaCuAg2Pt

A geometry-optimized LaCuAg2Pt structure (PBE, the Alexandria database).

```
LaCuAg2Pt
1.0
5.0940 0.0000 0.0000
0.0000 5.0940 0.0000
0.0000 0.0000 4.7426
La Cu Ag Pt
1 1 2 1
direct
0.0000 0.0000 0.0000
0.5000 0.5000 0.0000
0.0000 0.5000 0.5000
0.5000 0.0000 0.5000
0.5000 0.5000 0.5000
```

Computed properties:
Formation energy from the elements ... 143 meV per atom
Symmetry ... P4/mmm
Excess energy over the best structure of this formula in the dataset ... 0.000 eV/atom


Record 9
# LaCuAg2Pt

A geometry-optimized LaCuAg2Pt structure (PBE, the Alexandria database).

```
LaCuAg2Pt
1.0
4.6950 0.0000 0.0000
0.0000 4.6950 0.0000
0.0000 0.0000 5.4735
La Cu Ag Pt
1 1 2 1
direct
0.0000 0.0000 0.0000
0.0000 0.0000 0.5000
0.0000 0.5000 0.5000
0.5000 0.0000 0.5000
0.5000 0.5000 0.0000
```

Computed properties:
Formation energy from the elements ... 272 meV per atom
Symmetry ... P4/mmm
Excess energy over the best structure of this formula in the dataset ... 0.129 eV/atom


Record 10
# RbLa2CuAg

A geometry-optimized RbLa2CuAg structure (PBE, the Alexandria database).

```
RbLa2CuAg
1.0
5.7746 0.0000 0.0000
0.0000 5.7746 0.0000
0.0000 0.0000 4.8809
Rb La Cu Ag
1 2 1 1
direct
0.0000 0.0000 0.0000
0.0000 0.5000 0.0000
0.5000 0.0000 0.0000
0.0000 0.0000 0.5000
0.5000 0.5000 0.5000
```

Computed properties:
Formation energy from the elements ... 1195 meV per atom
Symmetry ... P4/mmm


Record 11
# LaCuAgRu2

A geometry-optimized LaCuAgRu2 structure (PBE, the Alexandria database).

```
LaCuAgRu2
1.0
4.8943 0.0000 0.0000
0.0000 4.8943 0.0000
0.0000 0.0000 5.4268
La Cu Ag Ru
1 1 1 2
direct
0.0000 0.0000 0.0000
0.5000 0.5000 0.0000
0.0000 0.0000 0.5000
0.0000 0.5000 0.5000
0.5000 0.0000 0.5000
```

Computed properties:
Formation energy from the elements ... 1595 meV per atom
Symmetry ... P4/mmm


Record 12
# LaSmCuAg

A geometry-optimized LaSmCuAg structure (PBE, the Alexandria database).

```
LaSmCuAg
1.0
0.0000 3.7000 3.7000
3.7000 0.0000 3.7000
3.7000 3.7000 0.0000
La Sm Cu Ag
1 1 1 1
direct
0.0000 0.0000 0.0000
0.5000 0.5000 0.5000
0.2500 0.2500 0.2500
0.7500 0.7500 0.7500
```

Computed properties:
Formation energy from the elements ... -183 meV per atom
Symmetry ... F-43m
Excess energy over the best structure of this formula in the dataset ... 0.030 eV/atom